Computed, not measured: Pr2Ni12As7 after structural relaxation at the PBEsol level of DFT. Values from VASP.

```
&SYSTEM
  ibrav = 0, nat = 21, ntyp = 3
/
ATOMIC_SPECIES
Pr 140.91 Pr.upf
Ni 58.69 Ni.upf
As 74.92 As.upf
ATOMIC_POSITIONS crystal
Pr 0.0000 0.0000 0.0000
Pr 0.3333 0.6667 0.5000
Ni 0.0401 0.7553 0.5000
Ni 0.1048 0.3893 0.0000
Ni 0.2447 0.2847 0.5000
Ni 0.2845 0.8952 0.0000
Ni 0.3885 0.2015 0.0000
Ni 0.5586 0.1288 0.5000
Ni 0.5702 0.4414 0.5000
Ni 0.6107 0.7155 0.0000
Ni 0.7153 0.9599 0.5000
Ni 0.7985 0.1870 0.0000
Ni 0.8130 0.6115 0.0000
Ni 0.8712 0.4298 0.5000
As 0.0643 0.6199 0.0000
As 0.2664 0.0334 0.5000
As 0.3801 0.4444 0.0000
As 0.5556 0.9357 0.0000
As 0.6667 0.3333 0.0000
As 0.7670 0.7336 0.5000
As 0.9666 0.2330 0.5000
CELL_PARAMETERS angstrom
9.2773 0.0000 0.0000
-4.6387 8.0344 0.0000
0.0000 0.0000 3.8554
```

Computed, not measured: NiAs2Pt after structural relaxation at the PBEsol level of DFT. Values from VASP.

```
&SYSTEM
  ibrav = 0, nat = 4, ntyp = 3
/
ATOMIC_SPECIES
Ni 58.69 Ni.upf
As 74.92 As.upf
Pt 195.08 Pt.upf
ATOMIC_POSITIONS crystal
Ni 0.0000 0.0000 0.0000
As 0.2145 0.7145 0.5000
As 0.4836 0.4836 0.0000
Pt 0.7416 0.2416 0.5000
CELL_PARAMETERS angstrom
-1.6720 2.1007 4.1995
1.6720 -2.1007 4.1995
1.6720 2.1007 -4.1995
```

Computed, not measured: NiAsPt2 after structural relaxation at the PBEsol level of DFT. Values from VASP.

```
&SYSTEM
  ibrav = 0, nat = 4, ntyp = 3
/
ATOMIC_SPECIES
Ni 58.69 Ni.upf
As 74.92 As.upf
Pt 195.08 Pt.upf
ATOMIC_POSITIONS crystal
Ni 0.0000 0.0000 0.0000
As 0.5000 0.5000 0.8023
Pt 0.0000 0.0000 0.5312
Pt 0.5000 0.5000 0.2434
CELL_PARAMETERS angstrom
2.8056 0.0000 0.0000
0.0000 3.3831 0.0000
0.0000 0.0000 5.9218
```

Computed, not measured: NiAsPt3 after structural relaxation at the PBEsol level of DFT. Values from VASP.

```
&SYSTEM
  ibrav = 0, nat = 5, ntyp = 3
/
ATOMIC_SPECIES
Ni 58.69 Ni.upf
As 74.92 As.upf
Pt 195.08 Pt.upf
ATOMIC_POSITIONS crystal
Ni 0.0000 0.0000 0.0000
As 0.5000 0.5000 0.5000
Pt 0.0000 0.5000 0.5000
Pt 0.5000 0.0000 0.5000
Pt 0.5000 0.5000 0.0000
CELL_PARAMETERS angstrom
4.5582 0.0000 0.0000
0.0000 4.5582 0.0000
0.0000 0.0000 4.5582
```

Formation energy across the listed records, respectively: -572, 19, -62, 942 meV per atom.
M_tot across the listed records, respectively: 0.000, 0.000, 0.000, 0.194 μB per atom.
Final energy across the listed records, respectively: -132.023, -23.257, -25.438, -27.444 eV/f.u..